## YbHoRh2 (PBE)

Data for an optimized crystal structure of YbHoRh2.

D(E_F)	14.55	states/eV/f.u.
ΔE_f	-752	meV/atom
space group	Fm-3m, No. 225
VASP energy	-23.8	eV/f.u.

a b c (Å): 4.809 4.809 4.809
angles (deg): 60.00 60.00 60.00
Sites, in units of the cell vectors:
Yb (0.500, 0.500, 0.500)
Rh (0.250, 0.250, 0.250)
Ho (0.000, 0.000, 0.000)
Rh (0.750, 0.750, 0.750)